# 1
# Zr2Tl3CuTe6 (GGA-PBE, relaxed)
# **D(E_F)**: 0.0843 states/eV per atom
# **SG**: C2/m (12)
# **E_tot**: -4.43 eV per atom
# **Crystal system**: monoclinic
data_Zr2Tl3CuTe6
_chemical_formula_sum 'Zr2 Tl3 Cu1 Te6'
_cell_length_a 7.279
_cell_length_b 7.279
_cell_length_c 8.463
_cell_angle_alpha 98.31
_cell_angle_beta 98.31
_cell_angle_gamma 119.74
_space_group_name_H-M_alt 'P 1'
_space_group_IT_number 1
loop_
_space_group_symop_operation_xyz
'x,y,z'
loop_
_atom_site_label
_atom_site_type_symbol
_atom_site_fract_x
_atom_site_fract_y
_atom_site_fract_z
_atom_site_occupancy
Zr1 Zr 0.164 0.836 0.000 1
Zr2 Zr 0.836 0.164 0.000 1
Tl1 Tl 0.000 0.000 0.500 1
Tl2 Tl 0.325 0.675 0.500 1
Tl3 Tl 0.675 0.325 0.500 1
Cu1 Cu 0.500 0.500 0.000 1
Te1 Te 0.111 0.435 0.803 1
Te2 Te 0.239 0.239 0.204 1
Te3 Te 0.435 0.111 0.803 1
Te4 Te 0.565 0.889 0.197 1
Te5 Te 0.761 0.761 0.796 1
Te6 Te 0.889 0.565 0.197 1


# 2
# ZrTl2CuTe4 (GGA-PBE, relaxed)
# **D(E_F)**: 0.3807 states/eV per atom
# **SG**: P2/m (10)
# **E_tot**: -4.13 eV per atom
# **Crystal system**: monoclinic
data_ZrTl2CuTe4
_chemical_formula_sum 'Zr1 Tl2 Cu1 Te4'
_cell_length_a 7.576
_cell_length_b 4.066
_cell_length_c 8.508
_cell_angle_alpha 90.00
_cell_angle_beta 109.45
_cell_angle_gamma 90.00
_space_group_name_H-M_alt 'P 1'
_space_group_IT_number 1
loop_
_space_group_symop_operation_xyz
'x,y,z'
loop_
_atom_site_label
_atom_site_type_symbol
_atom_site_fract_x
_atom_site_fract_y
_atom_site_fract_z
_atom_site_occupancy
Zr1 Zr 0.000 0.000 0.000 1
Tl1 Tl 0.000 0.500 0.500 1
Tl2 Tl 0.500 0.000 0.500 1
Cu1 Cu 0.500 0.500 0.000 1
Te1 Te 0.221 0.500 0.219 1
Te2 Te 0.289 0.000 0.827 1
Te3 Te 0.711 0.000 0.173 1
Te4 Te 0.779 0.500 0.781 1


# 3
# Tm5CuTe5 (GGA-PBE, relaxed)
# **D(E_F)**: 0.8171 states/eV per atom
# **SG**: C2/m (12)
# **E_tot**: -4.89 eV per atom
# **Crystal system**: monoclinic
data_Tm5CuTe5
_chemical_formula_sum 'Tm5 Cu1 Te5'
_cell_length_a 7.430
_cell_length_b 7.430
_cell_length_c 8.432
_cell_angle_alpha 107.21
_cell_angle_beta 107.21
_cell_angle_gamma 48.04
_space_group_name_H-M_alt 'P 1'
_space_group_IT_number 1
loop_
_space_group_symop_operation_xyz
'x,y,z'
loop_
_atom_site_label
_atom_site_type_symbol
_atom_site_fract_x
_atom_site_fract_y
_atom_site_fract_z
_atom_site_occupancy
Tm1 Tm 0.000 0.000 0.000 1
Tm2 Tm 0.346 0.346 0.155 1
Tm3 Tm 0.346 0.346 0.685 1
Tm4 Tm 0.654 0.654 0.315 1
Tm5 Tm 0.654 0.654 0.845 1
Cu1 Cu 0.500 0.500 0.000 1
Te1 Te 0.164 0.164 0.824 1
Te2 Te 0.180 0.180 0.335 1
Te3 Te 0.500 0.500 0.500 1
Te4 Te 0.820 0.820 0.665 1
Te5 Te 0.836 0.836 0.176 1


# 4
# Tm3CuTe2 (GGA-PBE, relaxed)
# **D(E_F)**: 0.7008 states/eV per atom
# **SG**: C2/m (12)
# **E_tot**: -4.83 eV per atom
# **Crystal system**: monoclinic
data_Tm3CuTe2
_chemical_formula_sum 'Tm6 Cu2 Te4'
_cell_length_a 7.207
_cell_length_b 7.207
_cell_length_c 7.507
_cell_angle_alpha 99.27
_cell_angle_beta 99.27
_cell_angle_gamma 119.97
_space_group_name_H-M_alt 'P 1'
_space_group_IT_number 1
loop_
_space_group_symop_operation_xyz
'x,y,z'
loop_
_atom_site_label
_atom_site_type_symbol
_atom_site_fract_x
_atom_site_fract_y
_atom_site_fract_z
_atom_site_occupancy
Tm1 Tm 0.065 0.423 0.775 1
Tm2 Tm 0.214 0.214 0.218 1
Tm3 Tm 0.423 0.065 0.775 1
Tm4 Tm 0.577 0.935 0.225 1
Tm5 Tm 0.786 0.786 0.782 1
Tm6 Tm 0.935 0.577 0.225 1
Cu1 Cu 0.169 0.831 0.000 1
Cu2 Cu 0.831 0.169 0.000 1
Te1 Te 0.000 0.000 0.500 1
Te2 Te 0.344 0.656 0.500 1
Te3 Te 0.500 0.500 0.000 1
Te4 Te 0.656 0.344 0.500 1


# 5
# Tm2CuTe (GGA-PBE, relaxed)
# **D(E_F)**: 0.5172 states/eV per atom
# **SG**: Cmcm (63)
# **E_tot**: -4.78 eV per atom
# **Crystal system**: orthorhombic
data_Tm2CuTe
_chemical_formula_sum 'Tm4 Cu2 Te2'
_cell_length_a 11.514
_cell_length_b 11.514
_cell_length_c 4.353
_cell_angle_alpha 90.00
_cell_angle_beta 90.00
_cell_angle_gamma 160.13
_space_group_name_H-M_alt 'P 1'
_space_group_IT_number 1
loop_
_space_group_symop_operation_xyz
'x,y,z'
loop_
_atom_site_label
_atom_site_type_symbol
_atom_site_fract_x
_atom_site_fract_y
_atom_site_fract_z
_atom_site_occupancy
Tm1 Tm 0.058 0.942 0.750 1
Tm2 Tm 0.339 0.661 0.750 1
Tm3 Tm 0.661 0.339 0.250 1
Tm4 Tm 0.942 0.058 0.250 1
Cu1 Cu 0.466 0.534 0.750 1
Cu2 Cu 0.534 0.466 0.250 1
Te1 Te 0.196 0.804 0.750 1
Te2 Te 0.804 0.196 0.250 1


# 6
# Tm4Cu2Te (GGA-PBE, relaxed)
# **D(E_F)**: 0.5264 states/eV per atom
# **SG**: I-42d (122)
# **E_tot**: -4.60 eV per atom
# **Crystal system**: tetragonal
data_Tm4Cu2Te
_chemical_formula_sum 'Tm8 Cu4 Te2'
_cell_length_a 7.604
_cell_length_b 7.604
_cell_length_c 7.604
_cell_angle_alpha 108.05
_cell_angle_beta 108.05
_cell_angle_gamma 112.35
_space_group_name_H-M_alt 'P 1'
_space_group_IT_number 1
loop_
_space_group_symop_operation_xyz
'x,y,z'
loop_
_atom_site_label
_atom_site_type_symbol
_atom_site_fract_x
_atom_site_fract_y
_atom_site_fract_z
_atom_site_occupancy
Tm1 Tm 0.003 0.763 0.110 1
Tm2 Tm 0.097 0.487 0.740 1
Tm3 Tm 0.108 0.997 0.760 1
Tm4 Tm 0.237 0.347 0.240 1
Tm5 Tm 0.513 0.253 0.610 1
Tm6 Tm 0.642 0.903 0.390 1
Tm7 Tm 0.653 0.892 0.890 1
Tm8 Tm 0.747 0.358 0.260 1
Cu1 Cu 0.002 0.125 0.377 1
Cu2 Cu 0.375 0.998 0.123 1
Cu3 Cu 0.748 0.625 0.623 1
Cu4 Cu 0.875 0.252 0.877 1
Te1 Te 0.250 0.750 0.500 1
Te2 Te 0.500 0.500 0.000 1


Copy entry 5 word for word.
# Tm2CuTe (GGA-PBE, relaxed)
# **D(E_F)**: 0.5172 states/eV per atom
# **SG**: Cmcm (63)
# **E_tot**: -4.78 eV per atom
# **Crystal system**: orthorhombic
data_Tm2CuTe
_chemical_formula_sum 'Tm4 Cu2 Te2'
_cell_length_a 11.514
_cell_length_b 11.514
_cell_length_c 4.353
_cell_angle_alpha 90.00
_cell_angle_beta 90.00
_cell_angle_gamma 160.13
_space_group_name_H-M_alt 'P 1'
_space_group_IT_number 1
loop_
_space_group_symop_operation_xyz
'x,y,z'
loop_
_atom_site_label
_atom_site_type_symbol
_atom_site_fract_x
_atom_site_fract_y
_atom_site_fract_z
_atom_site_occupancy
Tm1 Tm 0.058 0.942 0.750 1
Tm2 Tm 0.339 0.661 0.750 1
Tm3 Tm 0.661 0.339 0.250 1
Tm4 Tm 0.942 0.058 0.250 1
Cu1 Cu 0.466 0.534 0.750 1
Cu2 Cu 0.534 0.466 0.250 1
Te1 Te 0.196 0.804 0.750 1
Te2 Te 0.804 0.196 0.250 1


What did the fifth record say?
# Tm2CuTe (GGA-PBE, relaxed)
# **D(E_F)**: 0.5172 states/eV per atom
# **SG**: Cmcm (63)
# **E_tot**: -4.78 eV per atom
# **Crystal system**: orthorhombic
data_Tm2CuTe
_chemical_formula_sum 'Tm4 Cu2 Te2'
_cell_length_a 11.514
_cell_length_b 11.514
_cell_length_c 4.353
_cell_angle_alpha 90.00
_cell_angle_beta 90.00
_cell_angle_gamma 160.13
_space_group_name_H-M_alt 'P 1'
_space_group_IT_number 1
loop_
_space_group_symop_operation_xyz
'x,y,z'
loop_
_atom_site_label
_atom_site_type_symbol
_atom_site_fract_x
_atom_site_fract_y
_atom_site_fract_z
_atom_site_occupancy
Tm1 Tm 0.058 0.942 0.750 1
Tm2 Tm 0.339 0.661 0.750 1
Tm3 Tm 0.661 0.339 0.250 1
Tm4 Tm 0.942 0.058 0.250 1
Cu1 Cu 0.466 0.534 0.750 1
Cu2 Cu 0.534 0.466 0.250 1
Te1 Te 0.196 0.804 0.750 1
Te2 Te 0.804 0.196 0.250 1